# Sr2HfTe2O2, optimized geometry, DFT GGA-PBE
data_Sr2HfTe2O2
_cell_length_a 4.312
_cell_length_b 4.312
_cell_length_c 17.651
_cell_angle_alpha 90.00
_cell_angle_beta 90.00
_cell_angle_gamma 90.00
_symmetry_space_group_name_H-M 'I 4/m m m'
_symmetry_Int_Tables_number 139
_symmetry_space_group_name_Hall '-I 4 2'
loop_
_atom_site_label
_atom_site_type_symbol
_atom_site_fract_x
_atom_site_fract_y
_atom_site_fract_z
Sr1 Sr 0.000 0.000 0.110
Hf1 Hf 0.000 0.000 0.500
Te1 Te 0.000 0.000 0.332
O1 O 0.000 0.500 0.000
# electronic total energy	-6.50	eV per atom
# size of the total moment	0.00	μB per formula unit
# volume	328.24	Å³/cell
# formation energy without anion corrections	-2.287	eV per atom

# LaPr4NdSe8, optimized geometry, DFT GGA-PBE
data_LaPr4NdSe8
_cell_length_a 8.7857
_cell_length_b 8.7857
_cell_length_c 21.4817
_cell_angle_alpha 90.00
_cell_angle_beta 90.00
_cell_angle_gamma 120.00
_symmetry_space_group_name_H-M 'R 3 m'
_symmetry_Int_Tables_number 160
_symmetry_space_group_name_Hall 'R 3 -2"'
loop_
_atom_site_label
_atom_site_type_symbol
_atom_site_fract_x
_atom_site_fract_y
_atom_site_fract_z
La1 La 0.0000 0.0000 0.0000
Pr1 Pr 0.0000 0.0000 0.2494
Pr2 Pr 0.0014 0.5007 0.1250
Nd1 Nd 0.0000 0.0000 0.6245
Se1 Se 0.0000 0.0000 0.3819
Se2 Se 0.0000 0.0000 0.8662
Se3 Se 0.0243 0.5122 0.3772
Se4 Se 0.1773 0.3545 0.2064
# electronic total energy	-5.80	eV per atom
# size of the total moment	0.00	μB per formula unit
# volume	1436.01	Å³/cell
# formation energy without anion corrections	-1.750	eV per atom

# TaAgRuN2, optimized geometry, DFT GGA-PBE
data_TaAgRuN2
_cell_length_a 3.854
_cell_length_b 3.854
_cell_length_c 5.270
_cell_angle_alpha 90.00
_cell_angle_beta 90.00
_cell_angle_gamma 90.00
_symmetry_space_group_name_H-M 'P 4/m m m'
_symmetry_Int_Tables_number 123
_symmetry_space_group_name_Hall '-P 4 2'
loop_
_atom_site_label
_atom_site_type_symbol
_atom_site_fract_x
_atom_site_fract_y
_atom_site_fract_z
Ta1 Ta 0.000 0.000 0.000
Ag1 Ag 0.500 0.500 0.000
Ru1 Ru 0.000 0.000 0.500
N1 N 0.000 0.500 0.500
# electronic total energy	-6.80	eV per atom
# size of the total moment	0.00	μB per formula unit
# volume	78.28	Å³/cell
# formation energy without anion corrections	1.326	eV per atom

# CdPd3Pb2, optimized geometry, DFT GGA-PBE
data_CdPd3Pb2
_cell_length_a 14.999
_cell_length_b 5.818
_cell_length_c 5.545
_cell_angle_alpha 90.00
_cell_angle_beta 98.63
_cell_angle_gamma 90.00
_symmetry_space_group_name_H-M 'C 1 2/c 1'
_symmetry_Int_Tables_number 15
loop_
_symmetry_equiv_pos_as_xyz
'x,y,z'
'-x,-y,-z'
'-x,y,-z+1/2'
'x,-y,z+1/2'
'x+1/2,y+1/2,z'
'-x+1/2,-y+1/2,-z'
'-x+1/2,y+1/2,-z+1/2'
'x+1/2,-y+1/2,z+1/2'
loop_
_atom_site_label
_atom_site_type_symbol
_atom_site_fract_x
_atom_site_fract_y
_atom_site_fract_z
Cd1 Cd 0.000 0.080 0.250
Pd1 Pd 0.000 0.410 0.750
Pd2 Pd 0.159 0.145 0.594
Pb1 Pb 0.161 0.349 0.110
# electronic total energy	-4.19	eV per atom
# size of the total moment	0.00	μB per formula unit
# volume	478.41	Å³/cell
# energy relative to the elements	-0.209	eV/atom

# TaAl2Tc, optimized geometry, DFT GGA-PBE
data_TaAl2Tc
_cell_length_a 6.279
_cell_length_b 6.279
_cell_length_c 6.279
_cell_angle_alpha 90.00
_cell_angle_beta 90.00
_cell_angle_gamma 90.00
_symmetry_space_group_name_H-M 'F m -3 m'
_symmetry_Int_Tables_number 225
_symmetry_space_group_name_Hall '-F 4 2 3'
loop_
_atom_site_label
_atom_site_type_symbol
_atom_site_fract_x
_atom_site_fract_y
_atom_site_fract_z
Ta1 Ta 0.000 0.000 0.000
Al1 Al 0.250 0.250 0.250
Tc1 Tc 0.000 0.000 0.500
# electronic total energy	-7.50	eV per atom
# size of the total moment	0.00	μB per formula unit
# E above lowest polymorph	311	meV/atom
# volume	247.51	Å³/cell
# energy relative to the elements	-0.070	eV/atom

# AlSiRu, optimized geometry, DFT GGA-PBE
data_AlSiRu
_cell_length_a 4.0590
_cell_length_b 4.0590
_cell_length_c 3.0308
_cell_angle_alpha 90.00
_cell_angle_beta 90.00
_cell_angle_gamma 120.00
_symmetry_space_group_name_H-M 'P -6 m 2'
_symmetry_Int_Tables_number 187
_symmetry_space_group_name_Hall 'P -6 2'
loop_
_atom_site_label
_atom_site_type_symbol
_atom_site_fract_x
_atom_site_fract_y
_atom_site_fract_z
Al1 Al 0.0000 0.0000 0.0000
Si1 Si 0.3333 0.6667 0.5000
Ru1 Ru 0.6667 0.3333 0.5000
# electronic total energy	-6.49	eV per atom
# size of the total moment	0.00	μB per formula unit
# volume	43.24	Å³/cell
# formation energy without anion corrections	-0.346	eV per atom

# NdCdGa2, optimized geometry, DFT GGA-PBE
data_NdCdGa2
_cell_length_a 7.111
_cell_length_b 7.111
_cell_length_c 7.111
_cell_angle_alpha 90.00
_cell_angle_beta 90.00
_cell_angle_gamma 90.00
_symmetry_space_group_name_H-M 'F m -3 m'
_symmetry_Int_Tables_number 225
_symmetry_space_group_name_Hall '-F 4 2 3'
loop_
_atom_site_label
_atom_site_type_symbol
_atom_site_fract_x
_atom_site_fract_y
_atom_site_fract_z
Nd1 Nd 0.000 0.000 0.000
Cd1 Cd 0.000 0.000 0.500
Ga1 Ga 0.250 0.250 0.250
# electronic total energy	-3.24	eV per atom
# size of the total moment	0.00	μB per formula unit
# E above lowest polymorph	113	meV/atom
# volume	359.58	Å³/cell
# energy relative to the elements	-0.309	eV/atom

# Nd2DyH, optimized geometry, DFT GGA-PBE
data_Nd2DyH
_cell_length_a 3.6865
_cell_length_b 3.6865
_cell_length_c 26.3260
_cell_angle_alpha 90.00
_cell_angle_beta 90.00
_cell_angle_gamma 120.00
_symmetry_space_group_name_H-M 'R -3 m'
_symmetry_Int_Tables_number 166
_symmetry_space_group_name_Hall '-R 3 2"'
loop_
_atom_site_label
_atom_site_type_symbol
_atom_site_fract_x
_atom_site_fract_y
_atom_site_fract_z
Nd1 Nd 0.0000 0.0000 0.2224
Dy1 Dy 0.0000 0.0000 0.0000
H1 H 0.0000 0.0000 0.5000
# electronic total energy	-4.52	eV per atom
# size of the total moment	0.00	μB per formula unit
# E above lowest polymorph	0	meV/atom
# volume	309.84	Å³/cell

# La8Mg2Tl, optimized geometry, DFT GGA-PBE
data_La8Mg2Tl
_cell_length_a 17.168
_cell_length_b 5.658
_cell_length_c 9.043
_cell_angle_alpha 90.00
_cell_angle_beta 121.18
_cell_angle_gamma 90.00
_symmetry_space_group_name_H-M 'C 1 2/m 1'
_symmetry_Int_Tables_number 12
loop_
_symmetry_equiv_pos_as_xyz
'x,y,z'
'-x,-y,-z'
'-x,y,-z'
'x,-y,z'
'x+1/2,y+1/2,z'
'-x+1/2,-y+1/2,-z'
'-x+1/2,y+1/2,-z'
'x+1/2,-y+1/2,z'
loop_
_atom_site_label
_atom_site_type_symbol
_atom_site_fract_x
_atom_site_fract_y
_atom_site_fract_z
La1 La 0.072 0.000 0.222
La2 La 0.090 0.500 0.947
La3 La 0.137 0.000 0.686
La4 La 0.182 0.500 0.449
Mg1 Mg 0.230 0.000 0.114
Tl1 Tl 0.000 0.500 0.500
# electronic total energy	-4.19	eV per atom
# size of the total moment	0.00	μB per formula unit
# volume	751.57	Å³/cell
# energy relative to the elements	-0.104	eV/atom

# ScBeCu2, optimized geometry, DFT GGA-PBE
data_ScBeCu2
_cell_length_a 2.916
_cell_length_b 2.916
_cell_length_c 6.319
_cell_angle_alpha 90.00
_cell_angle_beta 90.00
_cell_angle_gamma 90.00
_symmetry_space_group_name_H-M 'P 4/m m m'
_symmetry_Int_Tables_number 123
_symmetry_space_group_name_Hall '-P 4 2'
loop_
_atom_site_label
_atom_site_type_symbol
_atom_site_fract_x
_atom_site_fract_y
_atom_site_fract_z
Sc1 Sc 0.000 0.000 0.000
Be1 Be 0.000 0.000 0.500
Cu1 Cu 0.500 0.500 0.304
# electronic total energy	-4.65	eV per atom
# size of the total moment	0.00	μB per formula unit
# volume	53.74	Å³/cell
# energy relative to the elements	-0.090	eV/atom

# TcIrSe2Br, optimized geometry, DFT GGA-PBE
data_TcIrSe2Br
_cell_length_a 4.927
_cell_length_b 4.927
_cell_length_c 5.037
_cell_angle_alpha 90.00
_cell_angle_beta 90.00
_cell_angle_gamma 90.00
_symmetry_space_group_name_H-M 'P 4/m m m'
_symmetry_Int_Tables_number 123
_symmetry_space_group_name_Hall '-P 4 2'
loop_
_atom_site_label
_atom_site_type_symbol
_atom_site_fract_x
_atom_site_fract_y
_atom_site_fract_z
Tc1 Tc 0.000 0.000 0.000
Ir1 Ir 0.500 0.500 0.500
Se1 Se 0.000 0.500 0.500
Br1 Br 0.500 0.500 0.000
# electronic total energy	-4.57	eV per atom
# size of the total moment	4.21	μB per formula unit
# E above lowest polymorph	0	meV/atom
# volume	122.29	Å³/cell
# formation energy without anion corrections	1.002	eV per atom

# VSiSeBr2, optimized geometry, DFT GGA-PBE
data_VSiSeBr2
_cell_length_a 5.038
_cell_length_b 5.038
_cell_length_c 4.991
_cell_angle_alpha 90.00
_cell_angle_beta 90.00
_cell_angle_gamma 90.00
_symmetry_space_group_name_H-M 'P 4/m m m'
_symmetry_Int_Tables_number 123
_symmetry_space_group_name_Hall '-P 4 2'
loop_
_atom_site_label
_atom_site_type_symbol
_atom_site_fract_x
_atom_site_fract_y
_atom_site_fract_z
V1 V 0.000 0.000 0.000
Si1 Si 0.500 0.500 0.500
Se1 Se 0.000 0.000 0.500
Br1 Br 0.000 0.500 0.000
# electronic total energy	-4.11	eV per atom
# size of the total moment	3.00	μB per formula unit
# E above lowest polymorph	0	meV/atom
# volume	126.68	Å³/cell
# formation energy without anion corrections	0.164	eV per atom